## i
# La2TlOs

An optimized crystal structure of La2TlOs (PBE, Alexandria).

The structure in CIF format:
```
data_La2TlOs
_symmetry_space_group_name_H-M 'P 4/m m m'
_symmetry_Int_Tables_number 123
_symmetry_space_group_name_Hall '-P 4 2'
_cell_length_a 5.302
_cell_length_b 5.302
_cell_length_c 3.792
_cell_angle_alpha 90.00
_cell_angle_beta 90.00
_cell_angle_gamma 90.00
loop_
_atom_site_label
_atom_site_fract_x
_atom_site_fract_y
_atom_site_fract_z
La1 0.000 0.500 0.000
Tl1 0.000 0.000 0.500
Os1 0.500 0.500 0.500
```

## Properties
- Size of the total moment: 0.0 μB per formula unit

=====

## ii
# La2TlOs

An optimized crystal structure of La2TlOs (PBE, Alexandria).

The structure in CIF format:
```
data_La2TlOs
_symmetry_space_group_name_H-M 'R 3 m'
_symmetry_Int_Tables_number 160
_symmetry_space_group_name_Hall 'R 3 -2"'
_cell_length_a 4.0337
_cell_length_b 4.0337
_cell_length_c 26.5039
_cell_angle_alpha 90.00
_cell_angle_beta 90.00
_cell_angle_gamma 120.00
loop_
_atom_site_label
_atom_site_fract_x
_atom_site_fract_y
_atom_site_fract_z
La1 0.0000 0.0000 0.0000
La2 0.0000 0.0000 0.2067
Tl1 0.0000 0.0000 0.4479
Os1 0.0000 0.0000 0.7254
```

## Properties
- Size of the total moment: 0.0 μB per formula unit

=====

## iii
# La2TlOs

An optimized crystal structure of La2TlOs (PBE, Alexandria).

The structure in CIF format:
```
data_La2TlOs
_symmetry_space_group_name_H-M 'C m m m'
_symmetry_Int_Tables_number 65
_symmetry_space_group_name_Hall '-C 2 2'
_cell_length_a 4.971
_cell_length_b 4.985
_cell_length_c 8.871
_cell_angle_alpha 90.00
_cell_angle_beta 90.00
_cell_angle_gamma 90.00
loop_
_atom_site_label
_atom_site_fract_x
_atom_site_fract_y
_atom_site_fract_z
La1 0.000 0.000 0.199
Tl1 0.000 0.500 0.500
Os1 0.000 0.500 0.000
```

## Properties
- Size of the total moment: 0.0 μB per formula unit

=====

Of them, iii has the highest stability.

=====

## i
# La2TlOs

An optimized crystal structure of La2TlOs (PBE, Alexandria).

The structure in CIF format:
```
data_La2TlOs
_symmetry_space_group_name_H-M 'I m m 2'
_symmetry_Int_Tables_number 44
_symmetry_space_group_name_Hall 'I 2 -2'
_cell_length_a 3.496
_cell_length_b 4.967
_cell_length_c 12.947
_cell_angle_alpha 90.00
_cell_angle_beta 90.00
_cell_angle_gamma 90.00
loop_
_atom_site_label
_atom_site_fract_x
_atom_site_fract_y
_atom_site_fract_z
La1 0.000 0.000 0.000
La2 0.000 0.500 0.197
Tl1 0.000 0.000 0.374
Os1 0.000 0.500 0.687
```

## Properties
- Size of the total moment: 0.0 μB per formula unit

=====

## ii
# La2TlOs

An optimized crystal structure of La2TlOs (PBE, Alexandria).

The structure in CIF format:
```
data_La2TlOs
_symmetry_space_group_name_H-M 'I -4 2 d'
_symmetry_Int_Tables_number 122
_symmetry_space_group_name_Hall 'I -4 2bw'
_cell_length_a 8.286
_cell_length_b 8.286
_cell_length_c 6.864
_cell_angle_alpha 90.00
_cell_angle_beta 90.00
_cell_angle_gamma 90.00
loop_
_atom_site_label
_atom_site_fract_x
_atom_site_fract_y
_atom_site_fract_z
La1 0.187 0.250 0.125
Tl1 0.000 0.000 0.500
Os1 0.000 0.000 0.000
```

## Properties
- Size of the total moment: 0.0 μB per formula unit

=====

Of them, i has the highest stability.

=====

## i
# La2TlOs

An optimized crystal structure of La2TlOs (PBE, Alexandria).

The structure in CIF format:
```
data_La2TlOs
_symmetry_space_group_name_H-M 'A m m 2'
_symmetry_Int_Tables_number 38
_symmetry_space_group_name_Hall 'A 2 -2'
_cell_length_a 4.846
_cell_length_b 4.103
_cell_length_c 11.520
_cell_angle_alpha 90.00
_cell_angle_beta 90.00
_cell_angle_gamma 90.00
loop_
_atom_site_label
_atom_site_fract_x
_atom_site_fract_y
_atom_site_fract_z
La1 0.000 0.000 0.000
La2 0.500 0.000 0.265
Tl1 0.000 0.000 0.716
Os1 0.500 0.000 0.578
```

## Properties
- Size of the total moment: 0.0 μB per formula unit

=====

## ii
# La2TlOs

An optimized crystal structure of La2TlOs (PBE, Alexandria).

The structure in CIF format:
```
data_La2TlOs
_symmetry_space_group_name_H-M 'P 4 m m'
_symmetry_Int_Tables_number 99
_symmetry_space_group_name_Hall 'P 4 -2'
_cell_length_a 3.508
_cell_length_b 3.508
_cell_length_c 9.162
_cell_angle_alpha 90.00
_cell_angle_beta 90.00
_cell_angle_gamma 90.00
loop_
_atom_site_label
_atom_site_fract_x
_atom_site_fract_y
_atom_site_fract_z
La1 0.000 0.000 0.000
La2 0.500 0.500 0.391
Tl1 0.500 0.500 0.752
Os1 0.000 0.000 0.578
```

## Properties
- Size of the total moment: 0.0 μB per formula unit

=====

Of them, i has the highest stability.

=====

## i
# La2TlOs

An optimized crystal structure of La2TlOs (PBE, Alexandria).

The structure in CIF format:
```
data_La2TlOs
_symmetry_space_group_name_H-M 'R -3 m'
_symmetry_Int_Tables_number 166
_symmetry_space_group_name_Hall '-R 3 2"'
_cell_length_a 4.1804
_cell_length_b 4.1804
_cell_length_c 24.9391
_cell_angle_alpha 90.00
_cell_angle_beta 90.00
_cell_angle_gamma 120.00
loop_
_atom_site_label
_atom_site_fract_x
_atom_site_fract_y
_atom_site_fract_z
La1 0.0000 0.0000 0.2284
Tl1 0.0000 0.0000 0.0000
Os1 0.0000 0.0000 0.5000
```

## Properties
- Size of the total moment: 0.0 μB per formula unit

=====

## ii
# La2TlOs

An optimized crystal structure of La2TlOs (PBE, Alexandria).

The structure in CIF format:
```
data_La2TlOs
_symmetry_space_group_name_H-M 'I -4 m 2'
_symmetry_Int_Tables_number 119
_symmetry_space_group_name_Hall 'I -4 -2'
_cell_length_a 5.114
_cell_length_b 5.114
_cell_length_c 7.303
_cell_angle_alpha 90.00
_cell_angle_beta 90.00
_cell_angle_gamma 90.00
loop_
_atom_site_label
_atom_site_fract_x
_atom_site_fract_y
_atom_site_fract_z
La1 0.000 0.000 0.000
La2 0.000 0.500 0.250
Tl1 0.000 0.000 0.500
Os1 0.000 0.500 0.750
```

## Properties
- Size of the total moment: 0.0 μB per formula unit

=====

Of them, i has the highest stability.

=====

## i
# La5TlOs

An optimized crystal structure of La5TlOs (PBE, Alexandria).

The structure in CIF format:
```
data_La5TlOs
_symmetry_space_group_name_H-M 'P 4/m m m'
_symmetry_Int_Tables_number 123
_symmetry_space_group_name_Hall '-P 4 2'
_cell_length_a 5.086
_cell_length_b 5.086
_cell_length_c 8.380
_cell_angle_alpha 90.00
_cell_angle_beta 90.00
_cell_angle_gamma 90.00
loop_
_atom_site_label
_atom_site_fract_x
_atom_site_fract_y
_atom_site_fract_z
La1 0.000 0.000 0.000
La2 0.000 0.500 0.302
Tl1 0.500 0.500 0.000
Os1 0.000 0.000 0.500
```

## Properties
- Size of the total moment: 0.0 μB per formula unit

=====

## ii
# La5TlOs

An optimized crystal structure of La5TlOs (PBE, Alexandria).

The structure in CIF format:
```
data_La5TlOs
_symmetry_space_group_name_H-M 'C 1 2/c 1'
_symmetry_Int_Tables_number 15
_symmetry_space_group_name_Hall '-C 2yc'
_cell_length_a 10.717
_cell_length_b 7.461
_cell_length_c 12.131
_cell_angle_alpha 90.00
_cell_angle_beta 108.95
_cell_angle_gamma 90.00
loop_
_atom_site_label
_atom_site_fract_x
_atom_site_fract_y
_atom_site_fract_z
La1 0.000 0.004 0.250
La2 0.124 0.325 0.553
La3 0.226 0.188 0.135
Tl1 0.000 0.451 0.250
Os1 0.000 0.000 0.000
```

## Properties
- Size of the total moment: 0.0 μB per formula unit

=====

Of them, i has the highest stability.

=====

## i
# LaUOs

An optimized crystal structure of LaUOs (PBE, Alexandria).

The structure in CIF format:
```
data_LaUOs
_symmetry_space_group_name_H-M 'I 4 m m'
_symmetry_Int_Tables_number 107
_symmetry_space_group_name_Hall 'I 4 -2'
_cell_length_a 3.543
_cell_length_b 3.543
_cell_length_c 11.332
_cell_angle_alpha 90.00
_cell_angle_beta 90.00
_cell_angle_gamma 90.00
loop_
_atom_site_label
_atom_site_fract_x
_atom_site_fract_y
_atom_site_fract_z
La1 0.000 0.000 0.000
U1 0.000 0.000 0.700
Os1 0.000 0.000 0.294
```

## Properties
- Size of the total moment: 0.2 μB per formula unit

=====

## ii
# LaUOs

An optimized crystal structure of LaUOs (PBE, Alexandria).

The structure in CIF format:
```
data_LaUOs
_symmetry_space_group_name_H-M 'P 1 21/c 1'
_symmetry_Int_Tables_number 14
_symmetry_space_group_name_Hall '-P 2ybc'
_cell_length_a 5.761
_cell_length_b 6.285
_cell_length_c 8.542
_cell_angle_alpha 90.00
_cell_angle_beta 109.85
_cell_angle_gamma 90.00
loop_
_atom_site_label
_atom_site_fract_x
_atom_site_fract_y
_atom_site_fract_z
La1 0.206 0.108 0.384
U1 0.217 0.559 0.524
Os1 0.381 0.643 0.283
```

## Properties
- Size of the total moment: 0.0 μB per formula unit

=====

Of them, i has the highest stability.

=====

## i
# La2VOs

An optimized crystal structure of La2VOs (PBE, Alexandria).

The structure in CIF format:
```
data_La2VOs
_symmetry_space_group_name_H-M 'I -4 2 d'
_symmetry_Int_Tables_number 122
_symmetry_space_group_name_Hall 'I -4 2bw'
_cell_length_a 8.150
_cell_length_b 8.150
_cell_length_c 6.176
_cell_angle_alpha 90.00
_cell_angle_beta 90.00
_cell_angle_gamma 90.00
loop_
_atom_site_label
_atom_site_fract_x
_atom_site_fract_y
_atom_site_fract_z
La1 0.209 0.250 0.125
V1 0.000 0.000 0.500
Os1 0.000 0.000 0.000
```

## Properties
- Size of the total moment: 3.8 μB per formula unit

=====

## ii
# La2VOs

An optimized crystal structure of La2VOs (PBE, Alexandria).

The structure in CIF format:
```
data_La2VOs
_symmetry_space_group_name_H-M 'F m -3 m'
_symmetry_Int_Tables_number 225
_symmetry_space_group_name_Hall '-F 4 2 3'
_cell_length_a 7.278
_cell_length_b 7.278
_cell_length_c 7.278
_cell_angle_alpha 90.00
_cell_angle_beta 90.00
_cell_angle_gamma 90.00
loop_
_atom_site_label
_atom_site_fract_x
_atom_site_fract_y
_atom_site_fract_z
La1 0.250 0.250 0.250
V1 0.000 0.000 0.000
Os1 0.000 0.000 0.500
```

## Properties
- Size of the total moment: 3.9 μB per formula unit

=====

Of them, ii has the highest stability.